Entry 1:
VASP calculation (GGA-PBE) on a relaxed DyPuSb crystal.

```
DyPuSb
1.0
4.027 0.000 0.000
0.000 3.980 0.000
0.000 1.990 10.552
Pu Dy Sb
2 2 2
Direct
0.250 0.443 0.113
0.750 0.557 0.887
0.750 0.702 0.596
0.250 0.298 0.404
0.250 0.134 0.731
0.750 0.866 0.269
```

DOS at the Fermi energy (states/eV/f.u.): 7.5
Volume (Å³ per atom): 28.188
Raw formation energy (eV/atom): -0.425
DFT total energy (eV per atom): -8.110
SG: Cmcm, No. 63

***

Entry 2:
VASP calculation (GGA-PBE) on a relaxed SrTbGa2 crystal.

```
SrTbGa2
1.0
3.731 0.000 0.000
0.000 3.731 0.000
0.000 0.000 7.504
Sr Ga Tb
1 2 1
Direct
0.500 0.500 0.500
0.000 0.000 0.217
0.000 0.000 0.783
0.500 0.500 0.000
```

E_form (kJ/mol of atoms): -45.5
DOS at the Fermi energy (states/eV/f.u.): 1.7
Volume (Å³ per atom): 26.117
DFT total energy (eV per atom): -3.563
SG: P4/mmm, No. 123

***

Entry 3:
VASP calculation (GGA-PBE) on a relaxed MgInF2 crystal.

```
MgInF2
1.0
-6.397 3.722 5.704
-5.244 1.494 7.588
-3.807 4.275 7.385
F Mg In
2 1 1
Direct
0.133 0.133 0.133
0.867 0.867 0.867
0.500 0.500 0.500
0.000 0.000 0.000
```

DOS at the Fermi energy (states/eV/f.u.): 0.6
Volume (Å³ per atom): 19.522
E above lowest polymorph (kJ per mole of atoms): 0.0
Raw formation energy (eV/atom): -2.474
DFT total energy (eV per atom): -4.493
SG: R-3m, No. 166

***

Entry 4:
VASP calculation (GGA-PBE) on a relaxed ZrCuPt2 crystal.

```
ZrCuPt2
1.0
4.625 0.000 0.000
0.000 4.951 0.000
0.000 0.000 5.637
Pt Cu Zr
4 2 2
Direct
0.500 0.177 0.751
0.500 0.177 0.249
0.000 0.823 0.749
0.000 0.823 0.251
0.000 0.310 0.000
0.500 0.690 0.500
0.500 0.659 0.000
0.000 0.341 0.500
```

E_form (kJ/mol of atoms): -80.9
DOS at the Fermi energy (states/eV/f.u.): 1.1
Volume (Å³ per atom): 16.135
DFT total energy (eV per atom): -7.020
SG: Pmmn, No. 59

***

Entry 5:
VASP calculation (GGA-PBE) on a relaxed TlIn6S8 crystal.

```
TlIn6S8
1.0
7.417 -0.361 -0.373
-0.592 7.402 -0.373
-0.592 -0.611 7.386
Tl S In
1 8 6
Direct
0.000 0.000 0.000
0.326 0.326 0.326
0.832 0.158 0.622
0.168 0.842 0.378
0.622 0.832 0.158
0.158 0.622 0.832
0.674 0.674 0.674
0.378 0.168 0.842
0.842 0.378 0.168
0.616 0.165 0.313
0.687 0.384 0.835
0.313 0.616 0.165
0.835 0.687 0.384
0.165 0.313 0.616
0.384 0.835 0.687
```

DOS at the Fermi energy (states/eV/f.u.): 7.8
Volume (Å³ per atom): 26.690
E above lowest polymorph (kJ per mole of atoms): 0.0
Raw formation energy (eV/atom): -0.385
DFT total energy (eV per atom): -3.839
SG: R-3, No. 148

***

Entry 6:
VASP calculation (GGA-PBE) on a relaxed YHg2H crystal.

```
YHg2H
1.0
9.169 0.000 0.000
0.000 9.169 0.000
4.584 4.584 2.084
H Hg Y
2 4 2
Direct
0.250 0.750 0.500
0.500 0.500 0.000
0.515 0.125 0.250
0.375 0.485 0.750
0.235 0.625 0.250
0.875 0.765 0.750
0.750 0.250 0.500
0.000 0.000 0.000
```

DOS at the Fermi energy (states/eV/f.u.): 2.0
Volume (Å³ per atom): 21.898
E above lowest polymorph (kJ per mole of atoms): 22.2
DFT total energy (eV per atom): -2.741
SG: I-42d, No. 122

***

Entry 7:
VASP calculation (GGA-PBE) on a relaxed Tm2PI2 crystal.

```
Tm2PI2
1.0
3.988 0.000 0.738
1.926 3.492 0.738
-0.093 -0.055 11.652
I Tm P
2 2 1
Direct
0.232 0.232 0.304
0.768 0.768 0.696
0.624 0.624 0.127
0.376 0.376 0.873
0.000 0.000 0.000
```

DOS at the Fermi energy (states/eV/f.u.): 1.5
Volume (Å³ per atom): 32.521
Raw formation energy (eV/atom): -1.486
DFT total energy (eV per atom): -4.976
SG: R-3m, No. 166

***

Entry 8:
VASP calculation (GGA-PBE) on a relaxed Na3Ac2NpTe6 crystal.

```
Na3Ac2NpTe6
1.0
4.687 0.000 0.000
0.000 9.291 0.419
-2.343 -2.595 9.800
Ac Te Np Na
2 6 1 3
Direct
0.835 0.671 0.670
0.165 0.329 0.330
0.661 0.077 0.322
0.001 0.769 0.003
0.339 0.923 0.678
0.666 0.584 0.332
0.334 0.416 0.668
0.999 0.231 0.997
0.500 0.000 0.000
0.500 0.500 0.000
0.168 0.834 0.336
0.832 0.166 0.664
```

DOS at the Fermi energy (states/eV/f.u.): 6.1
Volume (Å³ per atom): 35.987
Raw formation energy (eV/atom): -1.188
DFT total energy (eV per atom): -4.852
SG: C2/m, No. 12

***

What did the eighth record say?
VASP calculation (GGA-PBE) on a relaxed Na3Ac2NpTe6 crystal.

```
Na3Ac2NpTe6
1.0
4.687 0.000 0.000
0.000 9.291 0.419
-2.343 -2.595 9.800
Ac Te Np Na
2 6 1 3
Direct
0.835 0.671 0.670
0.165 0.329 0.330
0.661 0.077 0.322
0.001 0.769 0.003
0.339 0.923 0.678
0.666 0.584 0.332
0.334 0.416 0.668
0.999 0.231 0.997
0.500 0.000 0.000
0.500 0.500 0.000
0.168 0.834 0.336
0.832 0.166 0.664
```

DOS at the Fermi energy (states/eV/f.u.): 6.1
Volume (Å³ per atom): 35.987
Raw formation energy (eV/atom): -1.188
DFT total energy (eV per atom): -4.852
SG: C2/m, No. 12

***

Q: Among the records above, which one has the lowest DFT total energy?
A: DyPuSb

***

Q: Look up the volume of the seventh one.
A: 32.521 Å³ per atom